# YCoPt2 | Alexandria via LeMat-Bulk | meta-GGA SCAN | single point on PBEsol structure
data_YCoPt2
_cell_length_a 3.9810
_cell_length_b 3.9810
_cell_length_c 8.1391
_cell_angle_alpha 90.00
_cell_angle_beta 90.00
_cell_angle_gamma 90.00
_symmetry_space_group_name_H-M 'P 1'
_symmetry_Int_Tables_number 1
loop_
_symmetry_equiv_pos_as_xyz
'x,y,z'
loop_
_atom_site_label
_atom_site_fract_x
_atom_site_fract_y
_atom_site_fract_z
_atom_site_occupancy
Y1 0.0000 0.0000 0.0000 1
Y2 0.5000 0.5000 0.5000 1
Co1 0.0000 0.5000 0.2500 1
Co2 0.5000 0.0000 0.7500 1
Pt1 0.0000 0.0000 0.5000 1
Pt2 0.0000 0.5000 0.7500 1
Pt3 0.5000 0.0000 0.2500 1
Pt4 0.5000 0.5000 0.0000 1
# ρ (g cm⁻³): 13.9
# ΔH_f (0 K) (eV per atom): -0.719
# Space group: No. 119
# VASP energy (eV/atom): -47.102



# Rb | Alexandria via LeMat-Bulk | meta-GGA SCAN | single point on PBEsol structure
data_Rb
_cell_length_a 4.9306
_cell_length_b 4.9306
_cell_length_c 12.0532
_cell_angle_alpha 90.00
_cell_angle_beta 90.00
_cell_angle_gamma 120.00
_symmetry_space_group_name_H-M 'P 1'
_symmetry_Int_Tables_number 1
loop_
_symmetry_equiv_pos_as_xyz
'x,y,z'
loop_
_atom_site_label
_atom_site_fract_x
_atom_site_fract_y
_atom_site_fract_z
_atom_site_occupancy
Rb1 0.0000 0.6581 0.1667 1
Rb2 0.3419 0.3419 0.5000 1
Rb3 0.6581 0.0000 0.8333 1
# ρ (g cm⁻³): 1.7
# ΔH_f (0 K) (eV per atom): 0.002
# Space group: No. 152
# VASP energy (eV/atom): -20.737
# Polymorph energy (0 for the lowest one) (meV per atom): 2



# RbB2S | Alexandria via LeMat-Bulk | meta-GGA SCAN | single point on PBEsol structure
data_RbB2S
_cell_length_a 6.1874
_cell_length_b 6.1874
_cell_length_c 7.3822
_cell_angle_alpha 90.00
_cell_angle_beta 90.00
_cell_angle_gamma 90.00
_symmetry_space_group_name_H-M 'P 1'
_symmetry_Int_Tables_number 1
loop_
_symmetry_equiv_pos_as_xyz
'x,y,z'
loop_
_atom_site_label
_atom_site_fract_x
_atom_site_fract_y
_atom_site_fract_z
_atom_site_occupancy
Rb1 0.0000 0.0000 0.0000 1
Rb2 0.0000 0.5000 0.2500 1
Rb3 0.5000 0.0000 0.7500 1
Rb4 0.5000 0.5000 0.5000 1
B1 0.0818 0.7500 0.6250 1
B2 0.2500 0.0818 0.3750 1
B3 0.2500 0.4182 0.8750 1
B4 0.4182 0.7500 0.1250 1
B5 0.5818 0.2500 0.1250 1
B6 0.7500 0.5818 0.8750 1
B7 0.7500 0.9182 0.3750 1
B8 0.9182 0.2500 0.6250 1
S1 0.0000 0.0000 0.5000 1
S2 0.0000 0.5000 0.7500 1
S3 0.5000 0.0000 0.2500 1
S4 0.5000 0.5000 0.0000 1
# ρ (g cm⁻³): 3.3
# Formation energy without anion corrections (eV per atom): 1.271
# Space group: No. 122
# VASP energy (eV/atom): -10.035



# La2NiTe | Alexandria via LeMat-Bulk | meta-GGA SCAN | single point on PBEsol structure
data_La2NiTe
_cell_length_a 4.1479
_cell_length_b 4.1479
_cell_length_c 22.8270
_cell_angle_alpha 90.00
_cell_angle_beta 90.00
_cell_angle_gamma 120.00
_symmetry_space_group_name_H-M 'P 1'
_symmetry_Int_Tables_number 1
loop_
_symmetry_equiv_pos_as_xyz
'x,y,z'
loop_
_atom_site_label
_atom_site_fract_x
_atom_site_fract_y
_atom_site_fract_z
_atom_site_occupancy
La1 0.0000 0.0000 0.2369 1
La2 0.0000 0.0000 0.7631 1
La3 0.3333 0.6667 0.4298 1
La4 0.3333 0.6667 0.9036 1
La5 0.6667 0.3333 0.0964 1
La6 0.6667 0.3333 0.5702 1
Ni1 0.0000 0.0000 0.5000 1
Ni2 0.3333 0.6667 0.1667 1
Ni3 0.6667 0.3333 0.8333 1
Te1 0.0000 0.0000 0.0000 1
Te2 0.3333 0.6667 0.6667 1
Te3 0.6667 0.3333 0.3333 1
# ρ (g cm⁻³): 6.8
# Formation energy without anion corrections (eV per atom): -0.935
# Space group: No. 166
# VASP energy (eV/atom): -35.843



# LiLa2H2 | Alexandria via LeMat-Bulk | meta-GGA SCAN | single point on PBEsol structure
data_LiLa2H2
_cell_length_a 4.0113
_cell_length_b 4.0113
_cell_length_c 13.0759
_cell_angle_alpha 90.00
_cell_angle_beta 90.00
_cell_angle_gamma 90.00
_symmetry_space_group_name_H-M 'P 1'
_symmetry_Int_Tables_number 1
loop_
_symmetry_equiv_pos_as_xyz
'x,y,z'
loop_
_atom_site_label
_atom_site_fract_x
_atom_site_fract_y
_atom_site_fract_z
_atom_site_occupancy
Li1 0.0000 0.0000 0.0000 1
Li2 0.5000 0.5000 0.5000 1
La1 0.0000 0.0000 0.3454 1
La2 0.0000 0.0000 0.6546 1
La3 0.5000 0.5000 0.1546 1
La4 0.5000 0.5000 0.8454 1
H1 0.0000 0.5000 0.2500 1
H2 0.0000 0.5000 0.7500 1
H3 0.5000 0.0000 0.2500 1
H4 0.5000 0.0000 0.7500 1
# ρ (g cm⁻³): 4.5
# Space group: No. 139
# VASP energy (eV/atom): -19.494



# CdSbMo2 | Alexandria via LeMat-Bulk | meta-GGA SCAN | single point on PBEsol structure
data_CdSbMo2
_cell_length_a 3.0415
_cell_length_b 3.0415
_cell_length_c 26.7744
_cell_angle_alpha 90.00
_cell_angle_beta 90.00
_cell_angle_gamma 120.00
_symmetry_space_group_name_H-M 'P 1'
_symmetry_Int_Tables_number 1
loop_
_symmetry_equiv_pos_as_xyz
'x,y,z'
loop_
_atom_site_label
_atom_site_fract_x
_atom_site_fract_y
_atom_site_fract_z
_atom_site_occupancy
Cd1 0.0000 0.0000 0.0000 1
Cd2 0.3333 0.6667 0.6667 1
Cd3 0.6667 0.3333 0.3333 1
Sb1 0.0000 0.0000 0.5000 1
Sb2 0.3333 0.6667 0.1667 1
Sb3 0.6667 0.3333 0.8333 1
Mo1 0.0000 0.0000 0.2462 1
Mo2 0.0000 0.0000 0.7538 1
Mo3 0.3333 0.6667 0.4205 1
Mo4 0.3333 0.6667 0.9128 1
Mo5 0.6667 0.3333 0.0872 1
Mo6 0.6667 0.3333 0.5795 1
# ρ (g cm⁻³): 9.9
# Formation energy without anion corrections (eV per atom): 0.572
# Space group: No. 166
# VASP energy (eV/atom): -33.789
# Polymorph energy (0 for the lowest one) (meV per atom): 151



# HoBO3 | Alexandria via LeMat-Bulk | meta-GGA SCAN | single point on PBEsol structure
data_HoBO3
_cell_length_a 8.4497
_cell_length_b 3.8354
_cell_length_c 3.8354
_cell_angle_alpha 112.57
_cell_angle_beta 90.00
_cell_angle_gamma 90.00
_symmetry_space_group_name_H-M 'P 1'
_symmetry_Int_Tables_number 1
loop_
_symmetry_equiv_pos_as_xyz
'x,y,z'
loop_
_atom_site_label
_atom_site_fract_x
_atom_site_fract_y
_atom_site_fract_z
_atom_site_occupancy
Ho1 0.0000 0.0000 0.0000 1
Ho2 0.5000 0.0000 0.0000 1
B1 0.2500 0.7006 0.4275 1
B2 0.7500 0.4275 0.7006 1
O1 0.1022 0.6005 0.2596 1
O2 0.2500 0.9381 0.8006 1
O3 0.3978 0.6005 0.2596 1
O4 0.6022 0.2596 0.6005 1
O5 0.7500 0.8006 0.9381 1
O6 0.8978 0.2596 0.6005 1
# ρ (g cm⁻³): 6.5
# Formation energy without anion corrections (eV per atom): -3.337
# Space group: No. 40
# VASP energy (eV/atom): -18.359



# Ba3MgNi | Alexandria via LeMat-Bulk | meta-GGA SCAN | single point on PBEsol structure
data_Ba3MgNi
_cell_length_a 6.4048
_cell_length_b 6.4048
_cell_length_c 6.4048
_cell_angle_alpha 90.00
_cell_angle_beta 90.00
_cell_angle_gamma 90.00
_symmetry_space_group_name_H-M 'P 1'
_symmetry_Int_Tables_number 1
loop_
_symmetry_equiv_pos_as_xyz
'x,y,z'
loop_
_atom_site_label
_atom_site_fract_x
_atom_site_fract_y
_atom_site_fract_z
_atom_site_occupancy
Ba1 0.0000 0.0000 0.5000 1
Ba2 0.0000 0.5000 0.0000 1
Ba3 0.5000 0.0000 0.0000 1
Mg1 0.0000 0.0000 0.0000 1
Ni1 0.5000 0.5000 0.5000 1
# ρ (g cm⁻³): 3.1
# ΔH_f (0 K) (eV per atom): 0.899
# Space group: No. 221
# VASP energy (eV/atom): -27.061



# SiTc2Ru | Alexandria via LeMat-Bulk | meta-GGA SCAN | single point on PBEsol structure
data_SiTc2Ru
_cell_length_a 2.7244
_cell_length_b 2.7244
_cell_length_c 25.0582
_cell_angle_alpha 90.00
_cell_angle_beta 90.00
_cell_angle_gamma 120.00
_symmetry_space_group_name_H-M 'P 1'
_symmetry_Int_Tables_number 1
loop_
_symmetry_equiv_pos_as_xyz
'x,y,z'
loop_
_atom_site_label
_atom_site_fract_x
_atom_site_fract_y
_atom_site_fract_z
_atom_site_occupancy
Si1 0.0000 0.0000 0.0000 1
Si2 0.3333 0.6667 0.6667 1
Si3 0.6667 0.3333 0.3333 1
Tc1 0.0000 0.0000 0.2524 1
Tc2 0.0000 0.0000 0.7476 1
Tc3 0.3333 0.6667 0.4143 1
Tc4 0.3333 0.6667 0.9190 1
Tc5 0.6667 0.3333 0.0810 1
Tc6 0.6667 0.3333 0.5857 1
Ru1 0.0000 0.0000 0.5000 1
Ru2 0.3333 0.6667 0.1667 1
Ru3 0.6667 0.3333 0.8333 1
# ρ (g cm⁻³): 10.1
# Formation energy without anion corrections (eV per atom): -0.063
# Space group: No. 166
# VASP energy (eV/atom): -28.803



# Sc5Zn3 | Alexandria via LeMat-Bulk | meta-GGA SCAN | single point on PBEsol structure
data_Sc5Zn3
_cell_length_a 7.4878
_cell_length_b 9.1004
_cell_length_c 4.5424
_cell_angle_alpha 90.00
_cell_angle_beta 90.00
_cell_angle_gamma 90.00
_symmetry_space_group_name_H-M 'P 1'
_symmetry_Int_Tables_number 1
loop_
_symmetry_equiv_pos_as_xyz
'x,y,z'
loop_
_atom_site_label
_atom_site_fract_x
_atom_site_fract_y
_atom_site_fract_z
_atom_site_occupancy
Sc1 0.0000 0.0000 0.0000 1
Sc2 0.2182 0.5000 0.5000 1
Sc3 0.2500 0.2500 0.0000 1
Sc4 0.2500 0.7500 0.0000 1
Sc5 0.2818 0.0000 0.5000 1
Sc6 0.5000 0.5000 0.0000 1
Sc7 0.7182 0.0000 0.5000 1
Sc8 0.7500 0.2500 0.0000 1
Sc9 0.7500 0.7500 0.0000 1
Sc10 0.7818 0.5000 0.5000 1
Zn1 0.0000 0.2222 0.5000 1
Zn2 0.0000 0.5000 0.0000 1
Zn3 0.0000 0.7778 0.5000 1
Zn4 0.5000 0.0000 0.0000 1
Zn5 0.5000 0.2778 0.5000 1
Zn6 0.5000 0.7222 0.5000 1
# ρ (g cm⁻³): 4.5
# ΔH_f (0 K) (eV per atom): -0.252
# Space group: No. 65
# VASP energy (eV/atom): -14.219
# Polymorph energy (0 for the lowest one) (meV per atom): 23



# Ag2BrCl | Alexandria via LeMat-Bulk | meta-GGA SCAN | single point on PBEsol structure
data_Ag2BrCl
_cell_length_a 4.2257
_cell_length_b 4.9779
_cell_length_c 4.2320
_cell_angle_alpha 90.00
_cell_angle_beta 101.50
_cell_angle_gamma 90.00
_symmetry_space_group_name_H-M 'P 1'
_symmetry_Int_Tables_number 1
loop_
_symmetry_equiv_pos_as_xyz
'x,y,z'
loop_
_atom_site_label
_atom_site_fract_x
_atom_site_fract_y
_atom_site_fract_z
_atom_site_occupancy
Ag1 0.0000 0.0000 0.0000 1
Ag2 0.2231 0.5000 0.7724 1
Br1 0.8056 0.5000 0.1905 1
Cl1 0.3960 0.0000 0.6019 1
# ρ (g cm⁻³): 6.3
# Formation energy without anion corrections (eV per atom): -0.442
# Space group: No. 6
# VASP energy (eV/atom): -22.985
# Polymorph energy (0 for the lowest one) (meV per atom): 17



# KMo2Ru | Alexandria via LeMat-Bulk | meta-GGA SCAN | single point on PBEsol structure
data_KMo2Ru
_cell_length_a 6.3564
_cell_length_b 6.3564
_cell_length_c 6.3564
_cell_angle_alpha 90.00
_cell_angle_beta 90.00
_cell_angle_gamma 90.00
_symmetry_space_group_name_H-M 'P 1'
_symmetry_Int_Tables_number 1
loop_
_symmetry_equiv_pos_as_xyz
'x,y,z'
loop_
_atom_site_label
_atom_site_fract_x
_atom_site_fract_y
_atom_site_fract_z
_atom_site_occupancy
K1 0.0000 0.0000 0.0000 1
K2 0.0000 0.5000 0.5000 1
K3 0.5000 0.0000 0.5000 1
K4 0.5000 0.5000 0.0000 1
Mo1 0.2500 0.2500 0.2500 1
Mo2 0.2500 0.2500 0.7500 1
Mo3 0.2500 0.7500 0.2500 1
Mo4 0.2500 0.7500 0.7500 1
Mo5 0.7500 0.2500 0.2500 1
Mo6 0.7500 0.2500 0.7500 1
Mo7 0.7500 0.7500 0.2500 1
Mo8 0.7500 0.7500 0.7500 1
Ru1 0.0000 0.0000 0.5000 1
Ru2 0.0000 0.5000 0.0000 1
Ru3 0.5000 0.0000 0.0000 1
Ru4 0.5000 0.5000 0.5000 1
# ρ (g cm⁻³): 8.6
# ΔH_f (0 K) (eV per atom): 1.497
# Space group: No. 225
# VASP energy (eV/atom): -26.734
# Polymorph energy (0 for the lowest one) (meV per atom): 534